# LiNiGeF2 PBE+U relaxed
# - crystal system = tetragonal
# - Fermi-level density of states (states/eV per cell) = 0.9
# - total energy (eV/cell) = -17.446
data_LiNiGeF2
_space_group_name_H-M_alt 'P 4/m m m'
_space_group_IT_number 123
_space_group_name_Hall '-P 4 2'
_cell_length_a 4.330
_cell_length_b 4.330
_cell_length_c 4.693
_cell_angle_alpha 90.00
_cell_angle_beta 90.00
_cell_angle_gamma 90.00
loop_
_atom_site_label
_atom_site_type_symbol
_atom_site_fract_x
_atom_site_fract_y
_atom_site_fract_z
Li1 Li 0.000 0.000 0.000
Ni1 Ni 0.500 0.500 0.000
Ge1 Ge 0.500 0.500 0.500
F1 F 0.000 0.500 0.500